# Cu2WBr

A relaxed structure of Cu2WBr (GGA-PBE, Alexandria via LeMat-Bulk).

abc: 3.069 3.069 6.859
angles: 90.00 90.00 90.00
Fractional positions:
Cu: 0.000 0.000 0.000
Cu: 0.500 0.500 0.173
W: 0.000 0.000 0.392
Br: 0.500 0.500 0.647

The uncorrected formation energy is 0.612 eV per atom. As for the energy above the lowest structure with this stoichiometry: 84 meV per atom. As for the space group: P4mm (99).

=====

# ErAlGaPt2

A relaxed structure of ErAlGaPt2 (GGA-PBE, Alexandria via LeMat-Bulk).

abc: 6.603 6.603 6.603
angles: 145.32 145.32 49.86
Fractional positions:
Er: 0.000 0.000 0.000
Al: 0.250 0.750 0.500
Ga: 0.750 0.250 0.500
Pt: 0.387 0.387 0.000
Pt: 0.613 0.613 0.000

As for the space group: I-4m2 (119). The formation energy is -1.03 eV per atom.

=====

# KCa2S2

A relaxed structure of KCa2S2 (GGA-PBE, Alexandria via LeMat-Bulk).

abc: 8.035 8.035 3.874
angles: 90.00 90.00 90.00
Fractional positions:
K: 0.000 0.000 0.000
K: 0.500 0.500 0.000
Ca: 0.151 0.349 0.500
Ca: 0.349 0.849 0.500
Ca: 0.651 0.151 0.500
Ca: 0.849 0.651 0.500
S: 0.151 0.651 0.000
S: 0.349 0.151 0.000
S: 0.651 0.849 0.000
S: 0.849 0.349 0.000

The uncorrected formation energy is -1.300 eV per atom. As for the energy above the lowest structure with this stoichiometry: 135 meV per atom. As for the space group: P4/mbm (127).

=====

# Tc2NiGe

A relaxed structure of Tc2NiGe (GGA-PBE, Alexandria via LeMat-Bulk).

abc: 5.461 5.461 5.461
angles: 102.67 102.67 124.15
Fractional positions:
Tc: 0.121 0.625 0.996
Tc: 0.375 0.371 0.496
Tc: 0.629 0.125 0.004
Tc: 0.875 0.879 0.504
Ni: 0.000 0.000 0.000
Ni: 0.750 0.250 0.500
Ge: 0.250 0.750 0.500
Ge: 0.500 0.500 0.000

As for the space group: I-42d (122). The formation energy is 0.49 eV per atom.